1.
DFT (PBE) results for crystalline Tb4HgSe3 at its relaxed geometry.

abc: 4.061 7.271 7.271
angles: 108.42 90.00 90.00
Sites, in units of the cell vectors:
1 Se 0.000 0.500 0.000
2 Tb 0.000 0.745 0.745
3 Se 0.000 0.000 0.500
4 Tb 0.500 0.749 0.251
5 Se 0.500 0.500 0.500
6 Hg 0.500 0.000 0.000
7 Tb 0.000 0.255 0.255
8 Tb 0.500 0.251 0.749

Computed properties:
Space group   No. 65
Raw formation energy   -11.498 eV/f.u.
N(E_F)   0.360 states/eV/atom

---

2.
DFT (PBE) results for crystalline Tb4HgTe2Se at its relaxed geometry.

abc: 4.186 7.550 7.509
angles: 71.83 90.00 90.00
Sites, in units of the cell vectors:
1 Te 0.000 0.000 0.000
2 Tb 0.500 0.265 0.745
3 Hg 0.000 0.500 0.500
4 Tb 0.000 0.272 0.241
5 Tb 0.000 0.728 0.759
6 Te 0.500 0.000 0.500
7 Tb 0.500 0.735 0.255
8 Se 0.500 0.500 0.000

Computed properties:
Space group   No. 10
Raw formation energy   -9.811 eV/f.u.
N(E_F)   0.415 states/eV/atom

---

3.
DFT (PBE) results for crystalline Tb4Hg2TeSe at its relaxed geometry.

abc: 4.075 7.149 8.002
angles: 106.83 90.00 90.00
Sites, in units of the cell vectors:
1 Tb 0.000 0.759 0.244
2 Se 0.000 0.000 0.000
3 Hg 0.000 0.500 0.500
4 Tb 0.500 0.234 0.235
5 Tb 0.500 0.766 0.765
6 Tb 0.000 0.241 0.756
7 Hg 0.500 0.000 0.500
8 Te 0.500 0.500 0.000

Computed properties:
Space group   No. 10
Raw formation energy   -7.819 eV/f.u.
N(E_F)   0.524 states/eV/atom